1.
Material: ErIn4CuSe8
Method: DFT, PBE-GGA
State: optimized geometry

CIF file:
```
data_ErIn4CuSe8
_cell_length_a 8.1214
_cell_length_b 8.1214
_cell_length_c 19.6809
_cell_angle_alpha 90.00
_cell_angle_beta 90.00
_cell_angle_gamma 120.00
_space_group_name_H-M_alt 'R 3 m'
_space_group_IT_number 160
_space_group_name_Hall 'R 3 -2"'
loop_
_atom_site_label
_atom_site_fract_x
_atom_site_fract_y
_atom_site_fract_z
_atom_site_occupancy
Er1 0.0000 0.0000 0.0000 1
In1 0.0000 0.0000 0.6138 1
In2 0.1755 0.3510 0.8211 1
Cu1 0.0000 0.0000 0.3652 1
Se1 0.0000 0.0000 0.2381 1
Se2 0.0000 0.0000 0.7506 1
Se3 0.1679 0.3358 0.0755 1
Se4 0.1785 0.3570 0.5705 1
```


2.
Material: Rb3UCl7
Method: DFT, PBE-GGA
State: optimized geometry

CIF file:
```
data_Rb3UCl7
_cell_length_a 11.174
_cell_length_b 10.550
_cell_length_c 8.411
_cell_angle_alpha 90.00
_cell_angle_beta 127.04
_cell_angle_gamma 90.00
_space_group_name_H-M_alt 'C 1 m 1'
_space_group_IT_number 8
_space_group_name_Hall 'C -2y'
loop_
_atom_site_label
_atom_site_fract_x
_atom_site_fract_y
_atom_site_fract_z
_atom_site_occupancy
Rb1 0.000 0.000 0.000 1
Rb2 0.000 0.270 0.567 1
U1 0.048 0.500 0.121 1
Cl1 0.116 0.259 0.278 1
Cl2 0.194 0.500 0.961 1
Cl3 0.339 0.500 0.495 1
Cl4 0.356 0.158 0.818 1
Cl5 0.372 0.000 0.236 1
```


3.
Material: GaSbTe2I
Method: DFT, PBE-GGA
State: optimized geometry

Values from the calculation:
Its energy relative to the lowest polymorph listed for this composition is 54 kJ/mol of formula units.

CIF file:
```
data_GaSbTe2I
_cell_length_a 5.450
_cell_length_b 5.450
_cell_length_c 5.393
_cell_angle_alpha 90.00
_cell_angle_beta 90.00
_cell_angle_gamma 90.00
_space_group_name_H-M_alt 'P 4/m m m'
_space_group_IT_number 123
_space_group_name_Hall '-P 4 2'
loop_
_atom_site_label
_atom_site_fract_x
_atom_site_fract_y
_atom_site_fract_z
_atom_site_occupancy
Ga1 0.000 0.000 0.000 1
Sb1 0.500 0.500 0.500 1
Te1 0.000 0.500 0.000 1
I1 0.000 0.000 0.500 1
```


no.,ΔE_f (raw) (eV/f.u.)
1,-9.73
2,-20.59
3,1.72